{"formula": "SrPbW", "functional": "GGA-PBE", "state": "optimized geometry", "dos_at_fermi_per_ev_fu": 1.7, "final_energy_ev_per_atom": -5.28, "e_above_lowest_polymorph_mev_per_atom": 0.0, "ef_ev_per_atom": 0.832, "lattice": [[-3.075, 4.352, -3.496], [-0.342, 0.789, -6.315], [-0.423, -4.144, 4.823]], "species": ["Sr", "W", "Pb"], "frac_coords": [[0.329, 0.329, 0.000], [0.628, 0.628, 0.000], [0.043, 0.043, 0.000]]}